Record 1
# Nd3SmIr3 (PBE-GGA, relaxed)
# final energy	-7.04	eV/atom
data_Nd3SmIr3
_chemical_formula_sum 'Nd12 Sm4 Ir12'
_cell_length_a 11.0361
_cell_length_b 9.5451
_cell_length_c 7.0684
_cell_angle_alpha 90.00
_cell_angle_beta 103.68
_cell_angle_gamma 90.00
_symmetry_space_group_name_H-M 'C 1 2/m 1'
_symmetry_Int_Tables_number 12
_symmetry_space_group_name_Hall '-C 2y'
loop_
_atom_site_label
_atom_site_type_symbol
_atom_site_fract_x
_atom_site_fract_y
_atom_site_fract_z
Nd1 Nd 0.0000 0.1904 0.0000
Nd2 Nd 0.0000 0.2739 0.5000
Nd3 Nd 0.2015 0.5000 0.9962
Sm1 Sm 0.2174 0.0000 0.4584
Ir1 Ir 0.0521 0.0000 0.7133
Ir2 Ir 0.2394 0.2514 0.7625



Record 2
# NdCdSi (PBE-GGA, relaxed)
# ΔE_f (raw)	-494.4	meV per atom
data_NdCdSi
_chemical_formula_sum 'Nd4 Cd4 Si4'
_cell_length_a 4.3277
_cell_length_b 16.9836
_cell_length_c 3.9015
_cell_angle_alpha 90.00
_cell_angle_beta 90.00
_cell_angle_gamma 90.00
_symmetry_space_group_name_H-M 'C m c m'
_symmetry_Int_Tables_number 63
_symmetry_space_group_name_Hall '-C 2c 2'
loop_
_atom_site_label
_atom_site_type_symbol
_atom_site_fract_x
_atom_site_fract_y
_atom_site_fract_z
Nd1 Nd 0.0000 0.0935 0.2500
Cd1 Cd 0.0000 0.2879 0.2500
Si1 Si 0.0000 0.4576 0.2500



Record 3
# LaY5Al3 (PBE-GGA, relaxed)
# final energy	-5.66	eV/atom
data_LaY5Al3
_chemical_formula_sum 'La2 Y10 Al6'
_cell_length_a 9.1867
_cell_length_b 9.1867
_cell_length_c 6.7006
_cell_angle_alpha 90.00
_cell_angle_beta 90.00
_cell_angle_gamma 120.00
_symmetry_space_group_name_H-M 'P 63/m c m'
_symmetry_Int_Tables_number 193
_symmetry_space_group_name_Hall '-P 6c 2'
loop_
_atom_site_label
_atom_site_type_symbol
_atom_site_fract_x
_atom_site_fract_y
_atom_site_fract_z
La1 La 0.0000 0.0000 0.0000
Y1 Y 0.0000 0.3306 0.2500
Y2 Y 0.3333 0.6667 0.0000
Al1 Al 0.0000 0.3420 0.7500



Record 4
# Ho5InAg2 (PBE-GGA, relaxed)
# final energy	-4.17	eV/atom
data_Ho5InAg2
_chemical_formula_sum 'Ho20 In4 Ag8'
_cell_length_a 8.0032
_cell_length_b 8.0032
_cell_length_c 13.3929
_cell_angle_alpha 90.00
_cell_angle_beta 90.00
_cell_angle_gamma 90.00
_symmetry_space_group_name_H-M 'I 4/m c m'
_symmetry_Int_Tables_number 140
_symmetry_space_group_name_Hall '-I 4 2c'
loop_
_atom_site_label
_atom_site_type_symbol
_atom_site_fract_x
_atom_site_fract_y
_atom_site_fract_z
Ho1 Ho 0.0000 0.0000 0.0000
Ho2 Ho 0.1555 0.3445 0.1499
In1 In 0.0000 0.0000 0.2500
Ag1 Ag 0.1334 0.3666 0.5000



Record 5
# PdN2 (PBE-GGA, relaxed)
# ΔE_f (raw)	1658.8	meV per atom
data_PdN2
_chemical_formula_sum 'Pd4 N8'
_cell_length_a 4.9740
_cell_length_b 4.9740
_cell_length_c 4.9740
_cell_angle_alpha 90.00
_cell_angle_beta 90.00
_cell_angle_gamma 90.00
_symmetry_space_group_name_H-M 'F m -3 m'
_symmetry_Int_Tables_number 225
_symmetry_space_group_name_Hall '-F 4 2 3'
loop_
_atom_site_label
_atom_site_type_symbol
_atom_site_fract_x
_atom_site_fract_y
_atom_site_fract_z
Pd1 Pd 0.0000 0.0000 0.0000
N1 N 0.2500 0.2500 0.2500



Record 6
# DyTmInAg (PBE-GGA, relaxed)
# final energy	-4.06	eV/atom
data_DyTmInAg
_chemical_formula_sum 'Dy4 Tm4 In4 Ag4'
_cell_length_a 7.3775
_cell_length_b 7.3775
_cell_length_c 7.3775
_cell_angle_alpha 90.00
_cell_angle_beta 90.00
_cell_angle_gamma 90.00
_symmetry_space_group_name_H-M 'F -4 3 m'
_symmetry_Int_Tables_number 216
_symmetry_space_group_name_Hall 'F -4 2 3'
loop_
_atom_site_label
_atom_site_type_symbol
_atom_site_fract_x
_atom_site_fract_y
_atom_site_fract_z
Dy1 Dy 0.0000 0.0000 0.0000
Tm1 Tm 0.0000 0.0000 0.5000
In1 In 0.2500 0.2500 0.2500
Ag1 Ag 0.2500 0.2500 0.7500



Record 7
# Zr2FeReH (PBE-GGA, relaxed)
# final energy	-8.51	eV/atom
data_Zr2FeReH
_chemical_formula_sum 'Zr2 Fe1 Re1 H1'
_cell_length_a 4.6027
_cell_length_b 4.6027
_cell_length_c 3.3450
_cell_angle_alpha 90.00
_cell_angle_beta 90.00
_cell_angle_gamma 90.00
_symmetry_space_group_name_H-M 'P 4/m m m'
_symmetry_Int_Tables_number 123
_symmetry_space_group_name_Hall '-P 4 2'
loop_
_atom_site_label
_atom_site_type_symbol
_atom_site_fract_x
_atom_site_fract_y
_atom_site_fract_z
Zr1 Zr 0.0000 0.5000 0.0000
Fe1 Fe 0.0000 0.0000 0.5000
Re1 Re 0.5000 0.5000 0.5000
H1 H 0.0000 0.0000 0.0000



Record 8
# K2ZrRh (PBE-GGA, relaxed)
# offset from the most stable computed form	3	kJ/mol of formula units
data_K2ZrRh
_chemical_formula_sum 'K4 Zr2 Rh2'
_cell_length_a 21.5819
_cell_length_b 3.5229
_cell_length_c 3.8847
_cell_angle_alpha 90.00
_cell_angle_beta 99.64
_cell_angle_gamma 90.00
_symmetry_space_group_name_H-M 'C 1 2/m 1'
_symmetry_Int_Tables_number 12
_symmetry_space_group_name_Hall '-C 2y'
loop_
_atom_site_label
_atom_site_type_symbol
_atom_site_fract_x
_atom_site_fract_y
_atom_site_fract_z
K1 K 0.1528 0.0000 0.1423
Zr1 Zr 0.0000 0.0000 0.5000
Rh1 Rh 0.0000 0.5000 0.0000



Record 9
# LuMgCdPt (PBE-GGA, relaxed)
# final energy	-3.92	eV/atom
data_LuMgCdPt
_chemical_formula_sum 'Lu4 Mg4 Cd4 Pt4'
_cell_length_a 6.8417
_cell_length_b 6.8417
_cell_length_c 6.8417
_cell_angle_alpha 90.00
_cell_angle_beta 90.00
_cell_angle_gamma 90.00
_symmetry_space_group_name_H-M 'F -4 3 m'
_symmetry_Int_Tables_number 216
_symmetry_space_group_name_Hall 'F -4 2 3'
loop_
_atom_site_label
_atom_site_type_symbol
_atom_site_fract_x
_atom_site_fract_y
_atom_site_fract_z
Lu1 Lu 0.0000 0.0000 0.0000
Mg1 Mg 0.0000 0.0000 0.5000
Cd1 Cd 0.2500 0.2500 0.2500
Pt1 Pt 0.2500 0.2500 0.7500



Record 10
# AgBSbAs2 (PBE-GGA, relaxed)
# ΔE_f (raw)	1345.1	meV per atom
data_AgBSbAs2
_chemical_formula_sum 'Ag1 B1 Sb1 As2'
_cell_length_a 5.3718
_cell_length_b 5.3718
_cell_length_c 4.3262
_cell_angle_alpha 90.00
_cell_angle_beta 90.00
_cell_angle_gamma 90.00
_symmetry_space_group_name_H-M 'P 4/m m m'
_symmetry_Int_Tables_number 123
_symmetry_space_group_name_Hall '-P 4 2'
loop_
_atom_site_label
_atom_site_type_symbol
_atom_site_fract_x
_atom_site_fract_y
_atom_site_fract_z
Ag1 Ag 0.0000 0.0000 0.0000
B1 B 0.5000 0.5000 0.0000
Sb1 Sb 0.5000 0.5000 0.5000
As1 As 0.0000 0.5000 0.5000



Record 11
# Mn2NiRu (PBE-GGA, relaxed)
# final energy	-8.26	eV/atom
data_Mn2NiRu
_chemical_formula_sum 'Mn4 Ni2 Ru2'
_cell_length_a 3.9395
_cell_length_b 2.5893
_cell_length_c 9.5962
_cell_angle_alpha 90.00
_cell_angle_beta 90.00
_cell_angle_gamma 90.00
_symmetry_space_group_name_H-M 'A m m 2'
_symmetry_Int_Tables_number 38
_symmetry_space_group_name_Hall 'A 2 -2'
loop_
_atom_site_label
_atom_site_type_symbol
_atom_site_fract_x
_atom_site_fract_y
_atom_site_fract_z
Mn1 Mn 0.0000 0.0000 0.0000
Mn2 Mn 0.5000 0.0000 0.1314
Ni1 Ni 0.0000 0.0000 0.7401
Ru1 Ru 0.5000 0.0000 0.3884



Record 12
# Na4Pu3ScO8 (PBE-GGA, relaxed)
# ΔE_f (raw)	-2480.3	meV per atom
data_Na4Pu3ScO8
_chemical_formula_sum 'Na12 Pu9 Sc3 O24'
_cell_length_a 6.8683
_cell_length_b 6.8683
_cell_length_c 16.7739
_cell_angle_alpha 90.00
_cell_angle_beta 90.00
_cell_angle_gamma 120.00
_symmetry_space_group_name_H-M 'R -3 m'
_symmetry_Int_Tables_number 166
_symmetry_space_group_name_Hall '-R 3 2"'
loop_
_atom_site_label
_atom_site_type_symbol
_atom_site_fract_x
_atom_site_fract_y
_atom_site_fract_z
Na1 Na 0.0000 0.0000 0.0000
Na2 Na 0.0000 0.5000 0.0000
Pu1 Pu 0.0000 0.5000 0.5000
Sc1 Sc 0.0000 0.0000 0.5000
O1 O 0.0000 0.0000 0.2396
O2 O 0.0173 0.5086 0.2366



Number 1: total moment 0.0 Bohr magnetons per cell. Number 2: total moment 0.0 Bohr magnetons per cell. Number 3: total moment 1.8 Bohr magnetons per cell. Number 4: total moment 0.0 Bohr magnetons per cell. Number 5: total moment 0.0 Bohr magnetons per cell. Number 6: total moment 0.0 Bohr magnetons per cell. Number 7: total moment 0.0 Bohr magnetons per cell. Number 8: total moment 0.0 Bohr magnetons per cell. Number 9: total moment 0.0 Bohr magnetons per cell. Number 10: total moment 0.0 Bohr magnetons per cell. Number 11: total moment 1.2 Bohr magnetons per cell. Number 12: total moment 45.0 Bohr magnetons per cell.